A relaxed AcPrSm2Dy crystal, computed with GGA-PBE.

```
AcPrSm2Dy
1.0
4.1837 -6.1353 0.0000
4.1837 6.1353 0.0000
0.0000 0.0000 7.3700
Ac Pr Sm Dy
2 2 4 2
Cartesian
4.1837 3.1511 5.5275
4.1837 -3.1511 1.8425
4.1837 5.4015 1.8425
4.1837 -5.4015 5.5275
2.5575 0.0000 0.0000
2.5575 0.0000 3.6850
5.8100 0.0000 0.0000
5.8100 0.0000 3.6850
4.1837 2.3532 1.8425
4.1837 -2.3532 5.5275
```

Results
**D(E_F)**: 13.82 states/eV per cell
**Magnetization**: 0.00 μB/f.u.
**Space group**: Cmcm, No. 63
**Energy of formation from the pure elements**: 0.34 eV per atom
**Final energy**: -0.15598 Ha/atom